# 1
A geometry-optimized HfAg2I structure. Source: Alexandria, functional PBE.

Cell lengths 3.6487, 6.9822, 7.8714 Å; angles 83.55, 89.41, 89.98 degrees
Last column: nearest neighbours and their distance in Å.
Element x y z (fractional)
I 0.6031 0.3554 0.1300  3 Hf 2.97-3.03
I 0.5982 0.8293 0.2346  1 Ag 2.92, 3 Hf 3.05-3.07
Hf 0.0957 0.5026 0.3925  4 Ag 2.93-3.26, 4 I 3.02-3.07, 2 Hf 3.13
Hf 0.5933 0.1399 0.4773  5 Ag 2.88-3.23, 2 I 2.97-3.05, 2 Hf 3.13
Ag 0.5852 0.9208 0.8639  4 Ag 2.81, 1 I 2.92
Ag 0.5890 0.5158 0.6817  4 Ag 2.80-2.82, 2 Hf 2.93
Ag 0.0876 0.2116 0.7471  5 Ag 2.80-3.01, 2 Hf 2.88-2.89
Ag 0.0905 0.8230 0.6166  5 Ag 2.81-3.01, 3 Hf 2.98-3.00


# 2
A geometry-optimized Cd2TeP structure. Source: Alexandria, functional PBE.

Cell lengths 7.0881, 7.0881, 4.2267 Å; angles 71.33, 71.33, 29.46 degrees
Last column: nearest neighbours and their distance in Å.
Element x y z (fractional)
Cd 0.0509 0.0509 0.9463  4 Cd 3.07-3.08, 2 P 3.14, 2 Te 3.29-3.38
Cd 0.4491 0.4491 0.5537  4 Cd 3.07-3.08, 2 P 3.14, 2 Te 3.29-3.38
Te 0.2500 0.2500 0.2500  4 P 2.78
P 0.7500 0.7500 0.7500  4 Te 2.78


Going through the records in order, we get E_form (uncorrected) values of 0.03 0.95 eV per formula unit.